1.
The following is a DFT calculation (PBE-GGA) of La2TlZnRh after structural relaxation.

Cell lengths 5.462, 5.462, 4.917 Å; angles 90.00, 90.00, 90.00 degrees
Atoms (fractional coordinates):
Rh 0.000 0.000 0.000
Tl 0.500 0.500 0.500
La 0.000 0.500 0.000
Zn 0.000 0.000 0.500
La 0.500 0.000 0.000

Computed properties:
Calculated density   7.36 g/cm³
Polymorph energy (0 for the lowest one)   98 meV/atom
Calculated volume   29.34 Å³ per atom
Total energy   -23.0 eV for the cell shown
Symmetry   P4/mmm (123)

2.
The following is a DFT calculation (PBE-GGA) of LaTm2Rh9 after structural relaxation.

Cell lengths 5.282, 5.282, 9.261 Å; angles 73.43, 73.43, 60.00 degrees
Atoms (fractional coordinates):
Rh 0.083 0.585 0.748
Tm 0.860 0.860 0.420
Tm 0.140 0.140 0.580
Rh 0.667 0.667 0.999
Rh 0.917 0.415 0.252
Rh 0.585 0.083 0.748
Rh 0.585 0.585 0.748
Rh 0.415 0.415 0.252
La 0.000 0.000 0.000
Rh 0.333 0.333 0.001
Rh 0.500 0.500 0.500
Rh 0.415 0.917 0.252

Computed properties:
Calculated density   11.02 g/cm³
Calculated volume   17.61 Å³ per atom
Total energy   -87.0 eV for the cell shown
Symmetry   R-3m (166)

3.
The following is a DFT calculation (PBE-GGA) of LaTm3Rh8 after structural relaxation.

Cell lengths 5.339, 5.339, 8.750 Å; angles 90.00, 90.00, 120.00 degrees
Atoms (fractional coordinates):
Tm 0.667 0.333 0.065
Rh 0.165 0.835 0.246
Rh 0.995 0.498 0.755
Rh 0.165 0.329 0.246
Tm 0.000 0.000 0.936
Rh 0.502 0.005 0.755
Rh 0.502 0.498 0.755
Tm 0.667 0.333 0.429
Rh 0.333 0.667 0.498
Rh 0.671 0.835 0.246
La 0.000 0.000 0.568
Rh 0.333 0.667 0.000

Computed properties:
Calculated density   11.29 g/cm³
Calculated volume   18.00 Å³ per atom
Total energy   -85.6 eV for the cell shown
Symmetry   P3m1 (156)